Below is an optimized crystal structure of SrY2Br, with properties calculated at the PBE-GGA level.

Final energy in eV/atom: -4.48
Formation energy (no corrections) in eV per atom: -0.41
D(E_F) in states/eV/atom: 0.788
Offset from the most stable computed form in meV/atom: 96

Unit cell a=13.8993 b=3.5772 c=5.8021 alpha=90.00 beta=114.61 gamma=90.00
With the nearest neighbours (Å) after each atom.
Space group C2/m (No. 12)
Symmetry-distinct sites (fractional):
Sr (0.0000, 0.0000, 0.0000) (multiplicity 2)  4 Br 3.41, 2 Sr 3.58
Y (0.2127, 0.0000, 0.7127) (multiplicity 4)  2 Br 3.23, 6 Y 3.54-3.58
Br (0.0000, 0.5000, 0.5000) (multiplicity 2)  4 Y 3.23, 4 Sr 3.41, 2 Br 3.58


Below is an optimized crystal structure of SrY2Br, with properties calculated at the PBE-GGA level.

Final energy in eV/atom: -4.38
Formation energy (no corrections) in eV per atom: -0.31
D(E_F) in states/eV/atom: 1.111
Offset from the most stable computed form in meV/atom: 192

Unit cell a=12.5127 b=3.6621 c=6.7021 alpha=90.00 beta=111.59 gamma=90.00
With the nearest neighbours (Å) after each atom.
Space group Cm (No. 8)
Symmetry-distinct sites (fractional):
Sr (0.0000, 0.0000, 0.0000) (multiplicity 2)  2 Br 3.33, 2 Sr 3.66
Y (0.1861, 0.0000, 0.6254) (multiplicity 2)  2 Br 3.25, 3 Y 3.45-3.61
Y (0.4350, 0.0000, 0.4739) (multiplicity 2)  2 Br 3.03
Br (0.2318, 0.5000, 0.2638) (multiplicity 2)  4 Y 3.03-3.25, 2 Sr 3.33


- formation energy (no corrections) of number 2 (SrY2Br)?
  -0.31 eV per atom